# GaFeAgW2

Crystalline GaFeAgW2 at its relaxed geometry (PBE, Alexandria via LeMat-Bulk).

Values from the calculation:
* formation energy from the elements: 1011 kJ/mol of formula units
* total energy: -5.954 eV per atom
* theoretical density: 10.4 g/cm³
* D(E_F): 4.8 states/eV per cell

abc: 4.6328 4.6328 4.4821
angles: 90.00 90.00 90.00
Space group P4/mmm (No. 123)
Unique sites:
Ga1 0.0000 0.0000 0.0000 (multiplicity 1)
Fe1 0.5000 0.5000 0.5000 (multiplicity 1)
Ag1 0.0000 0.0000 0.5000 (multiplicity 1)
W1 0.0000 0.5000 0.0000 (multiplicity 2)